Compound: NaPtNF2
Source: Alexandria
Functional: PBE
Structure: relaxed

a b c (Å): 4.627 4.627 3.665
angles (deg): 90.00 90.00 90.00
Space group P4/mmm (No. 123)
One atom of each set of equivalent atoms:
Na 0.000 0.000 0.000 [1 per cell]
Pt 0.500 0.500 0.500 [1 per cell]
N 0.500 0.500 0.000 [1 per cell]
F 0.000 0.500 0.500 [2 per cell]

The calculation puts the distance to the lowest polymorph of the same formula at 0 meV/atom. The value obtained for the uncorrected formation energy is -0.78 eV per atom.


Compound: YbAl2Cu3
Source: Alexandria
Functional: PBE
Structure: relaxed

a b c (Å): 5.2972 5.2972 4.0088
angles (deg): 90.00 90.00 120.00
Space group P6/mmm (No. 191)
One atom of each set of equivalent atoms:
Yb 0.0000 0.0000 0.0000 [1 per cell]
Al 0.3333 0.6667 0.0000 [2 per cell]
Cu 0.0000 0.5000 0.5000 [3 per cell]

For the electronic total energy, the calculation gives -23.09 eV per formula unit.


Compound: LiPd6Au8
Source: Alexandria
Functional: PBE
Structure: relaxed

a b c (Å): 7.7140 7.7140 4.9148
angles (deg): 90.00 90.00 120.00
Space group P-3 (No. 147)
One atom of each set of equivalent atoms:
Li 0.0000 0.0000 0.0000 [1 per cell]
Pd 0.1016 0.6306 0.7817 [6 per cell]
Au 0.0455 0.7789 0.2851 [6 per cell]
Au 0.3333 0.6667 0.2783 [2 per cell]

The calculation puts the distance to the lowest polymorph of the same formula at 0 meV/atom.


Compound: AgOsO3
Source: Alexandria
Functional: PBE
Structure: relaxed

a b c (Å): 3.873 3.873 3.873
angles (deg): 90.00 90.00 90.00
Space group Pm-3m (No. 221)
One atom of each set of equivalent atoms:
Ag 0.000 0.000 0.000 [1 per cell]
Os 0.500 0.500 0.500 [1 per cell]
O 0.000 0.500 0.500 [3 per cell]

The value obtained for the uncorrected formation energy is -0.50 eV per atom.


Compound: Er2InS
Source: Alexandria
Functional: PBE
Structure: relaxed

a b c (Å): 3.7707 3.7707 23.7004
angles (deg): 90.00 90.00 120.00
Space group R-3m (No. 166, hexagonal axes)
One atom of each set of equivalent atoms:
Er 0.0000 0.0000 0.2344 [6 per cell]
In 0.0000 0.0000 0.0000 [3 per cell]
S 0.0000 0.0000 0.5000 [3 per cell]

The calculation puts the distance to the lowest polymorph of the same formula at 0 meV/atom. The value obtained for the uncorrected formation energy is -1.20 eV per atom.


Compound: LiPt2Br
Source: Alexandria
Functional: PBE
Structure: relaxed

a b c (Å): 3.608 3.608 6.825
angles (deg): 90.00 90.00 90.00
Space group P4/mmm (No. 123)
One atom of each set of equivalent atoms:
Li 0.000 0.000 0.000 [1 per cell]
Pt 0.000 0.500 0.500 [2 per cell]
Br 0.500 0.500 0.000 [1 per cell]

The calculation puts the distance to the lowest polymorph of the same formula at 181 meV/atom. The value obtained for the uncorrected formation energy is -0.05 eV per atom.


Compound: KCuBiOs2
Source: Alexandria
Functional: PBE
Structure: relaxed

a b c (Å): 4.670 4.670 5.542
angles (deg): 90.00 90.00 90.00
Space group P4/mmm (No. 123)
One atom of each set of equivalent atoms:
K 0.000 0.000 0.000 [1 per cell]
Cu 0.500 0.500 0.500 [1 per cell]
Bi 0.000 0.000 0.500 [1 per cell]
Os 0.000 0.500 0.000 [2 per cell]

For the electronic total energy, the calculation gives -15.06 eV per formula unit.


Compound: NaRe
Source: Alexandria
Functional: PBE
Structure: relaxed

a b c (Å): 5.825 5.825 5.892
angles (deg): 90.00 90.00 90.00
Space group P4_2/mnm (No. 136)
One atom of each set of equivalent atoms:
Na 0.168 0.168 0.000 [4 per cell]
Re 0.132 0.132 0.500 [4 per cell]

The calculation puts the distance to the lowest polymorph of the same formula at 1349 meV/atom.